1.
18
Lattice="5.3877 -8.8586 0.0000 5.3877 8.8586 0.0000 -0.5006 0.0000 6.2120" Properties=species:S:1:pos:R:3 comment="Tb6Pr2Y PBE-GGA optimized geometry" e_above_lowest_polymorph_mev_per_atom=42 n_ef_per_ev_cell=25.71 e_form_mev_per_atom=105 pbc="T T T"
Tb 0.7176 1.3342 3.0902
Tb 3.3661 4.4319 4.4550
Tb 0.4673 -1.3342 6.1962
Tb 4.1701 1.3378 3.1200
Tb 6.6584 4.4319 4.8630
Tb 4.4204 -1.3378 0.0140
Tb 5.8545 1.3378 6.1979
Tb 3.6164 -4.4319 1.3490
Tb 6.1047 -1.3378 3.0919
Tb 9.8075 1.3342 0.0158
Tb 6.9087 -4.4319 1.7570
Tb 9.5572 -1.3342 3.1218
Pr 2.1941 1.8115 6.2106
Pr 2.4443 -1.8115 3.1046
Pr 7.8305 1.8115 3.1074
Pr 8.0808 -1.8115 0.0014
Y 5.2626 4.4331 1.5530
Y 5.0123 -4.4331 4.6590


2.
16
Lattice="11.4011 0.0000 0.0000 0.0000 7.3302 0.0000 0.0000 0.0000 6.3337" Properties=species:S:1:pos:R:3 comment="Tb3PrY4 PBE-GGA optimized geometry" e_above_lowest_polymorph_mev_per_atom=0 n_ef_per_ev_cell=28.50 e_form_mev_per_atom=11 pbc="T T T"
Tb 0.0000 0.9192 0.0000
Tb 2.8486 0.9196 2.0985
Tb 2.8519 6.4106 5.2654
Tb 5.7005 6.4110 3.1669
Tb 8.5524 0.9196 2.0985
Tb 8.5492 6.4106 5.2654
Pr 0.0000 6.4190 3.1731
Pr 5.7005 0.9113 0.0062
Y 0.0000 2.7508 3.1527
Y 0.0000 4.5778 6.3236
Y 2.8329 2.7510 5.2836
Y 2.8676 4.5792 2.1167
Y 5.7005 2.7524 3.1568
Y 5.7005 4.5794 6.3195
Y 8.5335 4.5792 2.1167
Y 8.5682 2.7510 5.2836


3.
11
Lattice="7.0341 0.0000 0.0000 0.0000 5.5831 0.0000 -3.4092 0.0000 9.4986" Properties=species:S:1:pos:R:3 comment="Tb7Pr3Y PBE-GGA optimized geometry" e_above_lowest_polymorph_mev_per_atom=0 n_ef_per_ev_cell=15.96 e_form_mev_per_atom=138 pbc="T T T"
Tb 0.0000 0.0000 0.0000
Tb 0.0433 2.7915 2.7482
Tb 0.0965 2.7915 6.0486
Tb 0.1340 0.0000 7.8772
Tb 3.4908 0.0000 1.6214
Tb 3.5284 2.7915 3.4500
Tb 3.5816 2.7915 6.7504
Pr -1.7046 0.0000 4.7493
Pr -1.4241 2.7915 9.4755
Pr 5.0489 2.7915 0.0231
Y 1.8124 0.0000 4.7493


4.
14
Lattice="-4.8964 4.8964 5.1879 4.8964 -4.8964 5.1879 4.8964 4.8964 -5.1879" Properties=species:S:1:pos:R:3 comment="Tb5Pr8Y PBE-GGA optimized geometry" n_ef_per_ev_cell=20.83 e_form_mev_per_atom=245 pbc="T T T"
Tb 0.0000 0.0000 0.0000
Tb 2.0068 -1.0498 4.4294
Tb 3.8466 2.8896 0.7584
Tb 2.8896 5.9462 -0.7584
Tb 1.0498 2.0068 5.9463
Pr 3.2035 -0.6769 0.9912
Pr 4.0420 3.1424 -2.6334
Pr 6.5893 0.6769 0.9912
Pr 5.5733 -1.6929 4.1966
Pr 0.8544 1.7540 2.5545
Pr 4.2195 1.6929 4.1966
Pr 1.7540 -0.8544 7.8212
Pr 3.1424 5.7508 2.6334
Y 0.0000 4.8964 2.5939


5.
12
Lattice="6.2498 0.0000 0.0000 1.0360 6.1819 0.0000 0.0220 3.1560 10.3832" Properties=species:S:1:pos:R:3 comment="TbPr2Y3 PBE-GGA optimized geometry" e_above_lowest_polymorph_mev_per_atom=0 n_ef_per_ev_cell=16.73 e_form_mev_per_atom=16 pbc="T T T"
Tb 1.0511 2.4640 3.0253
Tb 6.2567 6.8739 7.3579
Pr 1.0426 3.5192 6.4899
Pr 3.1469 7.3964 9.0758
Pr 4.1610 1.9415 1.3074
Pr 6.2652 5.8187 3.8933
Y 1.0487 4.5757 9.9582
Y 3.1164 5.2969 2.1663
Y 3.1439 6.3452 5.6194
Y 4.1639 2.9927 4.7638
Y 4.1915 4.0410 8.2169
Y 6.2591 4.7621 0.4250


6.
12
Lattice="9.0810 -2.8986 0.0000 9.0810 2.8986 0.0000 -4.0522 0.0000 7.7624" Properties=species:S:1:pos:R:3 comment="Tb5Pr3Y4 PBE-GGA optimized geometry" e_above_lowest_polymorph_mev_per_atom=251 n_ef_per_ev_cell=16.02 e_form_mev_per_atom=268 pbc="T T T"
Tb 0.0000 0.0000 0.0000
Tb 5.7542 0.0000 0.9123
Tb 4.9272 0.0000 4.4030
Tb 9.1826 0.0000 3.3594
Tb 8.3556 0.0000 6.8501
Pr 2.4965 0.0000 1.6668
Pr 9.0810 0.0000 0.0000
Pr 11.6133 0.0000 6.0956
Y -2.2253 0.0000 5.3955
Y 1.0955 0.0000 5.0297
Y 13.0143 0.0000 2.7327
Y 16.3351 0.0000 2.3669